DFT (PBE) results for a relaxed structure of TlSnF2.

Lattice parameters (Å, degrees): 4.8305 4.8305 8.2930 73.07 73.07 90.00
With the nearest neighbours (Å) after each atom.
Positions (direct):
F  0.3750  0.4528  0.7500  2 Sn 2.39
F  0.2028  0.6250  0.2500  2 Sn 2.39
F  0.5472  0.1250  0.2500  2 Sn 2.39
F  0.8750  0.7972  0.7500  2 Sn 2.39
Tl  0.7500  0.2500  0.5000  4 F 2.75
Tl  0.0000  0.0000  0.0000  4 F 2.75
Sn  0.5000  0.5000  0.0000  4 F 2.39
Sn  0.2500  0.7500  0.5000  4 F 2.39

Properties
The energy above the most stable polymorph in this dataset is 185 meV per atom. As for the space group: I-42d. For the calculated total energy, the calculation gives -3.941 eV per atom.

DFT (PBE) results for a relaxed structure of LiTc2Ni.

Lattice parameters (Å, degrees): 7.0622 7.0622 5.5166 50.20 50.20 90.00
With the nearest neighbours (Å) after each atom.
Positions (direct):
Tc  0.6663  0.1250  0.2500  2 Ni 2.37, 2 Tc 2.42
Tc  0.0837  0.6250  0.2500  2 Ni 2.37, 2 Tc 2.42
Tc  0.3750  0.3337  0.7500  2 Ni 2.37, 2 Tc 2.42
Tc  0.8750  0.9163  0.7500  2 Ni 2.37, 2 Tc 2.42
Ni  0.7500  0.2500  0.5000  2 Li 2.34, 4 Tc 2.37
Ni  0.0000  0.0000  0.0000  2 Li 2.34, 4 Tc 2.37
Li  0.2500  0.7500  0.5000  2 Ni 2.34
Li  0.5000  0.5000  0.0000  2 Ni 2.34

Properties
The energy above the most stable polymorph in this dataset is 552 meV per atom. The calculation puts the formation energy from the elements at 0.6622 eV/atom. As for the space group: I-42d. For the calculated total energy, the calculation gives -6.445 eV per atom.

DFT (PBE) results for a relaxed structure of NaLi2Cu.

Lattice parameters (Å, degrees): 4.6927 4.6927 4.6927 60.00 60.00 60.00
With the nearest neighbours (Å) after each atom.
Positions (direct):
Li  0.7500  0.7500  0.7500  4 Na 2.87, 4 Cu 2.87
Li  0.2500  0.2500  0.2500  4 Na 2.87, 4 Cu 2.87
Na  0.0000  0.0000  0.0000  8 Li 2.87
Cu  0.5000  0.5000  0.5000  8 Li 2.87

Properties
The energy above the most stable polymorph in this dataset is 52 meV per atom. The calculation puts the formation energy from the elements at 0.1152 eV/atom. As for the space group: Fm-3m. For the calculated total energy, the calculation gives -2.196 eV per atom.

DFT (PBE) results for a relaxed structure of NpPa2C.

Lattice parameters (Å, degrees): 3.0206 3.0206 8.2404 90.00 90.00 90.00
With the nearest neighbours (Å) after each atom.
Positions (direct):
Np  0.5000  0.5000  0.0000  4 Np 3.02
Pa  0.0000  0.0000  0.3225  4 C 2.59
Pa  0.0000  0.0000  0.6775  4 C 2.59
C  0.5000  0.5000  0.5000  8 Pa 2.59

Properties
The energy above the most stable polymorph in this dataset is 138 meV per atom. The calculation puts the formation energy from the elements at 0.2881 eV/atom. As for the space group: P4/mmm. For the calculated total energy, the calculation gives -10.001 eV per atom.

DFT (PBE) results for a relaxed structure of NaPaIn2Br8.

Lattice parameters (Å, degrees): 7.3944 7.2549 9.1788 89.94 90.06 93.88
With the nearest neighbours (Å) after each atom.
Positions (direct):
Br  0.1229  0.7760  0.7862  1 Pa 2.74
Br  0.6755  0.8048  0.9991  1 Pa 2.70
Br  0.1215  0.7751  0.2144  1 Pa 2.74
Br  0.6774  0.7393  0.5006  1 Na 2.94, 2 In 2.98-2.99
Br  0.3226  0.2607  0.4994  1 Na 2.94, 2 In 2.98-2.99
Br  0.8785  0.2249  0.7856  1 Pa 2.74
Br  0.3245  0.1952  0.0009  1 Pa 2.70
Br  0.8771  0.2240  0.2138  1 Pa 2.74
Pa  0.0000  0.0000  0.0000  6 Br 2.70-2.74
Na  0.0000  0.0000  0.5000  6 Br 2.94-3.25
In  0.4999  0.4986  0.7308  2 Br 2.98-2.99
In  0.5001  0.5014  0.2692  2 Br 2.98-2.99

Properties
As for the space group: P-1. For the calculated total energy, the calculation gives -3.653 eV per atom.

DFT (PBE) results for a relaxed structure of NaTlS2.

Lattice parameters (Å, degrees): 16.6398 7.8556 7.8556 86.79 111.74 68.26
With the nearest neighbours (Å) after each atom.
Positions (direct):
S  0.5362  0.6527  0.7026  2 Tl 2.56-2.58
S  0.9664  0.3526  0.6454  2 Tl 2.57-2.59, 1 Na 2.85
S  0.4664  0.8546  0.1474  2 Tl 2.57-2.59, 1 Na 2.85
S  0.7500  0.2159  0.7159  2 Tl 2.58, 2 Na 2.81
S  0.0362  0.7974  0.8473  2 Tl 2.56-2.58
S  0.4638  0.3473  0.2974  2 Tl 2.56-2.58
S  0.2500  0.7841  0.2841  2 Tl 2.58, 2 Na 2.81
S  0.5336  0.1454  0.8526  2 Tl 2.57-2.59, 1 Na 2.85
S  0.2334  0.2421  0.2818  2 Tl 2.56-2.57
S  0.7500  0.7128  0.2128  2 Tl 2.56, 2 Na 2.85
S  0.9638  0.2026  0.1527  2 Tl 2.56-2.58
S  0.0336  0.6474  0.3546  2 Tl 2.57-2.59, 1 Na 2.85
S  0.7334  0.2182  0.2579  2 Tl 2.56-2.57
S  0.2666  0.7818  0.7421  2 Tl 2.56-2.57
S  0.7666  0.7579  0.7182  2 Tl 2.56-2.57
S  0.2500  0.2872  0.7872  2 Tl 2.56, 2 Na 2.85
Na  0.1137  0.0927  0.9844  5 S 2.81-3.11
Na  0.3876  0.9763  0.7303  5 S 2.85-3.06
Na  0.1124  0.2303  0.4763  5 S 2.85-3.06
Na  0.6137  0.5156  0.4073  5 S 2.81-3.11
Na  0.8863  0.9073  0.0156  5 S 2.81-3.11
Na  0.6124  0.0237  0.2697  5 S 2.85-3.06
Na  0.3863  0.4844  0.5927  5 S 2.81-3.11
Na  0.8876  0.7697  0.5237  5 S 2.85-3.06
Tl  0.8543  0.3989  0.8130  4 S 2.56-2.59
Tl  0.6457  0.3130  0.8989  4 S 2.56-2.59
Tl  0.3543  0.6870  0.1011  4 S 2.56-2.59
Tl  0.8551  0.3592  0.3124  4 S 2.56-2.57
Tl  0.6449  0.8124  0.8592  4 S 2.56-2.57
Tl  0.1457  0.6011  0.1870  4 S 2.56-2.59
Tl  0.1449  0.6408  0.6876  4 S 2.56-2.57
Tl  0.3551  0.1876  0.1408  4 S 2.56-2.57

Properties
As for the space group: C2/c. For the calculated total energy, the calculation gives -3.500 eV per atom.

DFT (PBE) results for a relaxed structure of TiCdGeIr2.

Lattice parameters (Å, degrees): 4.5438 4.8717 4.5438 90.00 90.00 90.00
With the nearest neighbours (Å) after each atom.
Positions (direct):
Ge  0.0000  0.0000  0.0000  4 Ir 2.27, 2 Cd 2.44
Ir  0.5000  0.0000  0.0000  2 Ge 2.27
Ir  0.0000  0.0000  0.5000  2 Ge 2.27
Cd  0.0000  0.5000  0.0000  2 Ge 2.44
Ti  0.5000  0.5000  0.5000  4 Cd 3.21, 8 Ir 3.33

Properties
The calculation puts the formation energy from the elements at 0.8198 eV/atom. As for the space group: P4/mmm. For the calculated total energy, the calculation gives -5.410 eV per atom.

DFT (PBE) results for a relaxed structure of Sm6Sb3Pt.

Lattice parameters (Å, degrees): 7.4376 9.4735 9.4735 105.28 90.00 90.00
With the nearest neighbours (Å) after each atom.
Positions (direct):
Sm  0.7663  0.0083  0.9917  2 Pt 2.84-3.05, 2 Sb 3.15
Sm  0.6974  0.9013  0.4256  1 Pt 2.86, 3 Sb 3.10-3.17
Sm  0.6824  0.2483  0.7517  1 Pt 2.87
Sm  0.1974  0.0987  0.5744  1 Pt 2.86, 3 Sb 3.10-3.17
Sm  0.6519  0.6332  0.7196  4 Sb 3.09-3.21
Sm  0.2663  0.9917  0.0083  2 Pt 2.84-3.05, 2 Sb 3.15
Sm  0.6974  0.5744  0.0987  1 Pt 2.86, 3 Sb 3.10-3.17
Sm  0.6519  0.2804  0.3668  4 Sb 3.09-3.21
Sm  0.1519  0.3668  0.2804  4 Sb 3.09-3.21
Sm  0.1519  0.7196  0.6332  4 Sb 3.09-3.21
Sm  0.1824  0.7517  0.2483  1 Pt 2.87
Sm  0.1974  0.4256  0.9013  1 Pt 2.86, 3 Sb 3.10-3.17
Sb  0.4864  0.2862  0.0698  7 Sm 3.09-3.28
Sb  0.9864  0.7138  0.9302  7 Sm 3.09-3.28
Sb  0.9864  0.0698  0.2862  7 Sm 3.09-3.28
Sb  0.4864  0.9302  0.7138  7 Sm 3.09-3.28
Sb  0.3510  0.4101  0.5899  7 Sm 3.10-3.47
Sb  0.8510  0.5899  0.4101  7 Sm 3.10-3.47
Pt  0.0144  0.1516  0.8484  5 Sm 2.84-3.05
Pt  0.5144  0.8484  0.1516  5 Sm 2.84-3.05

Properties
As for the space group: Cmc2_1. For the calculated total energy, the calculation gives -5.442 eV per atom.

| no. | magnetic moment (Bohr magnetons per cell) |
| --- | --- |
| 1 | 0.000 |
| 2 | 0.001 |
| 3 | 0.000 |
| 4 | 3.547 |
| 5 | 0.000 |
| 6 | 0.000 |
| 7 | 0.000 |
| 8 | 0.007 |